Entry 1:
First-principles (PBE) data for a relaxed structure of Pr4PaP5, as listed in Alexandria. Values from VASP.

Output
- Fermi-level density of states (states/eV/f.u.) = 4.5
- formation energy from the elements (eV per formula unit) = -14.89
- volume (Å³ per cell) = 252

Structure (Quantum ESPRESSO input):
```
&SYSTEM
  ibrav = 0, nat = 10, ntyp = 3
/
ATOMIC_SPECIES
Pr 140.91 Pr.upf
P 30.97 P.upf
Pa 231.04 Pa.upf
CELL_PARAMETERS angstrom
-4.8015 3.3642 -0.0298
-6.1535 -3.6690 0.5462
-2.1060 2.1607 6.5209
ATOMIC_POSITIONS angstrom
Pr -3.0538 0.7843 2.7097
Pr -6.0703 1.6115 5.3959
Pr -10.0167 1.0784 4.3275
Pr -7.0002 0.2512 1.6413
P -2.4065 1.6862 -0.0149
P -4.6739 -1.5376 1.5797
P -7.6605 -0.6659 4.4725
P -8.3969 3.4005 5.4575
P -5.4103 2.5288 2.5647
Pa -0.0050 0.0035 0.0000
```

Entry 2:
First-principles (PBE) data for a relaxed structure of PrPaP2, as listed in Alexandria. Values from VASP.

Output
- Fermi-level density of states (states/eV/f.u.) = 2.5
- formation energy from the elements (eV per formula unit) = -5.59
- energy above the most stable polymorph in this dataset (eV/atom) = 0.022
- volume (Å³ per cell) = 191

Structure (Quantum ESPRESSO input):
```
&SYSTEM
  ibrav = 0, nat = 8, ntyp = 3
/
ATOMIC_SPECIES
Pa 231.04 Pa.upf
P 30.97 P.upf
Pr 140.91 Pr.upf
CELL_PARAMETERS angstrom
-3.1348 1.5190 -2.0831
-0.5207 -1.2501 3.8262
3.0156 12.2948 4.4275
ATOMIC_POSITIONS angstrom
Pa 0.0000 0.0000 0.0000
Pa 1.5078 6.1474 2.2137
P 0.4074 11.4851 3.8080
P -0.2291 4.4147 3.5640
P -0.4109 8.1490 2.6066
P -1.0473 1.0785 2.3626
Pr -1.5096 3.6697 0.9935
Pr 0.8696 8.8940 5.1771
```

Entry 3:
First-principles (PBE) data for a relaxed structure of PrPaP2, as listed in Alexandria. Values from VASP.

Output
- Fermi-level density of states (states/eV/f.u.) = 3.1
- formation energy from the elements (eV per formula unit) = -5.68
- energy above the most stable polymorph in this dataset (eV/atom) = 0.000
- volume (Å³ per cell) = 96

Structure (Quantum ESPRESSO input):
```
&SYSTEM
  ibrav = 0, nat = 4, ntyp = 3
/
ATOMIC_SPECIES
Pa 231.04 Pa.upf
P 30.97 P.upf
Pr 140.91 Pr.upf
CELL_PARAMETERS angstrom
-1.9580 -3.5659 0.0411
1.1102 -2.9604 -2.5603
4.0298 -4.4929 3.7073
ATOMIC_POSITIONS angstrom
Pa 0.0000 0.0000 0.0000
P 2.4724 -8.3109 0.9816
P 0.7096 -2.7083 0.2065
Pr 1.5910 -5.5096 0.5940
```

Entry 4:
First-principles (PBE) data for a relaxed structure of PrPaP, as listed in Alexandria. Values from VASP.

Output
- Fermi-level density of states (states/eV/f.u.) = 4.8
- formation energy from the elements (eV per formula unit) = -1.96
- energy above the most stable polymorph in this dataset (eV/atom) = 0.000
- volume (Å³ per cell) = 172

Structure (Quantum ESPRESSO input):
```
&SYSTEM
  ibrav = 0, nat = 6, ntyp = 3
/
ATOMIC_SPECIES
P 30.97 P.upf
Pa 231.04 Pa.upf
Pr 140.91 Pr.upf
CELL_PARAMETERS angstrom
5.7014 0.0000 0.0000
0.0000 3.8841 0.0000
0.0000 0.0000 7.7695
ATOMIC_POSITIONS angstrom
P 0.0000 0.0003 1.9424
P 0.0000 3.8838 5.8271
Pa 0.0000 1.9421 3.8848
Pa 0.0000 1.9421 0.0000
Pr 2.8507 0.0004 5.8271
Pr 2.8507 3.8838 1.9424
```

Entry 5:
First-principles (PBE) data for a relaxed structure of Pr5PaP6, as listed in Alexandria. Values from VASP.

Output
- Fermi-level density of states (states/eV/f.u.) = 4.3
- formation energy from the elements (eV per formula unit) = -18.05
- volume (Å³ per cell) = 305

Structure (Quantum ESPRESSO input):
```
&SYSTEM
  ibrav = 0, nat = 12, ntyp = 3
/
ATOMIC_SPECIES
Pr 140.91 Pr.upf
P 30.97 P.upf
Pa 231.04 Pa.upf
CELL_PARAMETERS angstrom
-5.2960 -1.2312 -4.7125
-4.0585 -5.4832 2.3226
-5.6902 1.2672 4.2282
ATOMIC_POSITIONS angstrom
Pr -7.0980 -0.7064 0.8330
Pr -4.6772 -3.3572 -1.1950
Pr -6.5038 -2.8055 4.3712
Pr -3.2449 -1.4105 2.1797
Pr -7.9467 -4.7408 1.0053
P -7.1127 -5.1153 -1.8042
P -8.8868 -4.4773 3.8785
P -5.5316 -3.1877 1.6064
P -2.2418 -1.5991 -0.5857
P -9.5131 -2.2595 0.2320
P -6.1579 -0.9699 -2.0402
Pa 0.0000 0.0000 0.0000
```

Entry 6:
First-principles (PBE) data for a relaxed structure of Pr2PaP, as listed in Alexandria. Values from VASP.

Output
- Fermi-level density of states (states/eV/f.u.) = 6.1
- formation energy from the elements (eV per formula unit) = -0.48
- volume (Å³ per cell) = 123

Structure (Quantum ESPRESSO input):
```
&SYSTEM
  ibrav = 0, nat = 4, ntyp = 3
/
ATOMIC_SPECIES
Pr 140.91 Pr.upf
Pa 231.04 Pa.upf
P 30.97 P.upf
CELL_PARAMETERS angstrom
-2.0560 2.8962 0.9955
-3.4329 0.3591 -1.3009
-5.4745 -4.2974 8.0303
ATOMIC_POSITIONS angstrom
Pr -6.6839 1.4906 2.3607
Pr -4.2795 -2.5327 5.3641
Pa 0.0000 0.0000 0.0000
P -5.4817 -0.5210 3.8624
```